# 1
8
Lattice="-6.671 6.671 2.013 6.671 -6.671 2.013 6.671 6.671 -2.013" Properties=species:S:1:pos:R:3 comment="Rb2HfO | Alexandria | PBE | optimized geometry" crystal_system=tetragonal e_form_raw_ev_per_atom=-0.6377 pbc="T T T"
Rb -1.050 3.335 0.503
Rb 3.335 5.621 1.510
Rb 1.050 10.006 0.503
Rb -3.335 7.720 1.510
Hf 6.671 0.000 1.006
Hf 0.000 0.000 2.013
O 0.000 0.000 0.000
O 0.000 6.671 1.006



# 2
28
Lattice="8.227 -5.311 0.000 8.227 5.311 0.000 0.000 0.000 10.006" Properties=species:S:1:pos:R:3 comment="Rb3HfO3 | Alexandria | PBE | optimized geometry" crystal_system=orthorhombic e_form_raw_ev_per_atom=-1.9739 pbc="T T T"
Rb 2.931 1.752 8.806
Rb 5.297 1.752 6.203
Rb 8.227 3.091 8.459
Rb 8.227 2.220 3.455
Rb 2.931 -1.752 1.200
Rb 5.297 -1.752 3.803
Rb 11.158 1.752 6.203
Rb 13.524 1.752 8.806
Rb 8.227 -2.220 6.551
Rb 8.227 -3.091 1.548
Rb 11.158 -1.752 3.803
Rb 13.524 -1.752 1.200
Hf 1.534 0.000 5.003
Hf 6.693 0.000 0.000
Hf 9.761 0.000 0.000
Hf 14.921 0.000 5.003
O 2.527 1.428 5.856
O 8.227 4.528 6.098
O 5.701 1.428 9.153
O 2.527 -1.428 4.150
O 8.227 0.783 1.094
O 5.701 -1.428 0.853
O 10.754 1.428 9.153
O 8.227 -0.783 8.912
O 13.928 1.428 5.856
O 10.754 -1.428 0.853
O 8.227 -4.528 3.909
O 13.928 -1.428 4.150



# 3
25
Lattice="10.781 0.000 0.000 -5.390 9.336 0.000 0.000 0.000 10.871" Properties=species:S:1:pos:R:3 comment="Rb14Hf2O9 | Alexandria | PBE | optimized geometry" crystal_system=trigonal e_form_raw_ev_per_atom=-1.4698 pbc="T T T"
Rb 0.000 0.000 2.447
Rb 0.000 0.000 8.424
Rb -3.429 6.073 4.608
Rb -1.078 3.742 1.334
Rb -1.611 8.399 1.334
Rb 1.845 3.330 4.608
Rb 3.807 0.067 6.263
Rb 2.702 2.805 9.536
Rb 2.688 6.532 1.334
Rb 1.584 9.269 4.608
Rb 3.545 6.006 6.263
Rb 7.001 0.938 9.536
Rb 6.468 5.594 9.536
Rb 8.819 3.263 6.263
Hf 0.000 6.224 3.616
Hf 5.390 3.112 7.254
O 0.000 0.000 0.000
O -0.861 4.525 4.135
O -1.041 7.819 4.135
O 0.000 6.224 1.659
O 3.488 3.008 6.735
O 1.902 6.329 4.135
O 5.390 3.112 9.211
O 6.432 1.517 6.735
O 6.251 4.812 6.735



# 4
30
Lattice="7.869 0.000 0.000 0.000 7.903 0.000 0.000 0.000 14.281" Properties=species:S:1:pos:R:3 comment="Rb8HfO6 | Alexandria | PBE | optimized geometry" crystal_system=orthorhombic e_form_raw_ev_per_atom=-1.5346 pbc="T T T"
Rb 0.000 0.432 0.000
Rb 0.000 5.909 6.521
Rb 1.645 4.097 1.647
Rb 1.873 4.506 12.378
Rb 1.933 7.259 3.716
Rb 2.002 0.645 10.857
Rb 2.061 3.398 5.238
Rb 2.289 3.806 8.788
Rb 3.934 1.994 13.662
Rb 3.934 7.471 7.141
Rb 5.580 3.806 8.788
Rb 5.807 3.398 5.238
Rb 5.867 0.645 10.857
Rb 5.936 7.259 3.716
Rb 5.996 4.506 12.378
Rb 6.223 4.097 1.647
Hf 0.000 1.218 7.168
Hf 3.934 6.685 0.028
O 0.000 0.346 8.936
O 0.000 3.173 13.951
O 0.000 3.196 7.300
O 0.000 5.176 3.738
O 1.591 0.694 6.129
O 2.343 7.209 13.270
O 3.934 2.727 10.879
O 3.934 4.708 0.159
O 3.934 4.730 6.811
O 3.934 7.558 1.796
O 5.525 7.209 13.270
O 6.278 0.694 6.129



# 5
5
Lattice="5.039 0.000 0.000 0.000 5.039 0.000 0.000 0.000 5.039" Properties=species:S:1:pos:R:3 comment="RbHf3O | Alexandria | PBE | optimized geometry" crystal_system=cubic e_form_raw_ev_per_atom=2.7889 pbc="T T T"
Rb 0.000 0.000 0.000
Hf 0.000 0.000 2.519
Hf 0.000 2.519 0.000
Hf 2.519 0.000 0.000
O 2.519 2.519 2.519



# 6
5
Lattice="5.796 0.000 0.000 0.000 5.796 0.000 0.000 0.000 5.796" Properties=species:S:1:pos:R:3 comment="Rb3HfO | Alexandria | PBE | optimized geometry" crystal_system=cubic e_form_raw_ev_per_atom=0.4993 pbc="T T T"
Rb 0.000 0.000 2.898
Rb 0.000 2.898 0.000
Rb 2.898 0.000 0.000
Hf 2.898 2.898 2.898
O 0.000 0.000 0.000



# 7
8
Lattice="0.000 4.829 4.829 4.829 0.000 4.829 4.829 4.829 0.000" Properties=species:S:1:pos:R:3 comment="RbHf2O | Alexandria | PBE | optimized geometry" crystal_system=cubic e_form_raw_ev_per_atom=-0.4808 pbc="T T T"
Rb 1.207 1.207 1.207
Rb 8.451 8.451 8.451
Hf 4.829 2.415 2.415
Hf 2.415 4.829 2.415
Hf 2.415 2.415 4.829
Hf 4.829 4.829 4.829
O 3.622 3.622 3.622
O 6.036 6.036 6.036



# 8
80
Lattice="-6.948 6.948 6.948 6.948 -6.948 6.948 6.948 6.948 -6.948" Properties=species:S:1:pos:R:3 comment="Rb3Hf5O12 | Alexandria | PBE | optimized geometry" crystal_system=cubic e_form_raw_ev_per_atom=-2.8631 pbc="T T T"
Rb 3.474 1.737 0.000
Rb 6.948 3.474 -1.737
Rb 1.737 0.000 3.474
Rb 8.685 0.000 3.474
Rb 0.000 3.474 1.737
Rb 3.474 -1.737 6.948
Rb 3.474 8.685 0.000
Rb 6.948 3.474 5.211
Rb -1.737 6.948 3.474
Rb 5.211 6.948 3.474
Rb 0.000 3.474 8.685
Rb 3.474 5.211 6.948
Hf 0.000 0.000 0.000
Hf 3.474 3.474 -3.474
Hf 3.474 -3.474 3.474
Hf 6.948 0.000 0.000
Hf 10.422 1.737 0.000
Hf 6.948 -3.474 5.211
Hf 5.211 6.948 -3.474
Hf 5.211 0.000 3.474
Hf 3.474 5.211 0.000
Hf 6.948 3.474 1.737
Hf -3.474 3.474 3.474
Hf 0.000 6.948 0.000
Hf 0.000 0.000 6.948
Hf 3.474 3.474 3.474
Hf 0.000 3.474 5.211
Hf 3.474 1.737 6.948
Hf 1.737 6.948 3.474
Hf 1.737 0.000 10.422
Hf 0.000 10.422 1.737
Hf -3.474 5.211 6.948
O 5.453 -3.971 4.025
O 11.916 0.551 -0.497
O 8.927 0.551 0.497
O 8.443 -2.977 4.025
O 9.925 2.923 -1.495
O 7.445 -4.969 6.397
O 4.025 5.453 -3.971
O 6.397 -0.497 1.979
O 6.397 7.445 -4.969
O 4.025 -1.495 3.971
O 3.971 4.025 -1.495
O 6.451 1.979 0.551
O 10.919 2.923 1.495
O 6.451 -1.979 6.397
O 6.397 6.451 -1.979
O 4.025 1.495 2.977
O 4.025 8.443 -2.977
O 6.397 0.497 4.969
O 2.977 4.025 1.495
O 7.445 4.969 0.551
O 1.979 6.397 -0.497
O 8.443 2.977 2.923
O 4.969 6.397 0.497
O 5.453 3.971 2.923
O 1.495 2.977 4.025
O 1.979 0.551 6.451
O -1.495 3.971 4.025
O 4.969 0.551 7.445
O -0.497 1.979 6.397
O 3.971 2.923 5.453
O 0.551 6.451 1.979
O 2.923 -1.495 9.925
O 2.923 5.453 3.971
O 0.551 0.497 8.927
O 0.497 8.927 0.551
O -3.971 4.025 5.453
O 0.497 4.969 6.397
O 2.977 2.923 8.443
O 2.923 8.443 2.977
O 0.551 -0.497 11.916
O 0.551 7.445 4.969
O 2.923 1.495 10.919
O -0.497 11.916 0.551
O -2.977 4.025 8.443
O -1.495 9.925 2.923
O -1.979 6.397 6.451
O -4.969 6.397 7.445
O 1.495 10.919 2.923



# 9
11
Lattice="6.456 -2.582 0.000 6.456 2.582 0.000 -2.434 0.000 7.265" Properties=species:S:1:pos:R:3 comment="Rb5HfO5 | Alexandria | PBE | optimized geometry" crystal_system=monoclinic e_form_raw_ev_per_atom=-1.6188 pbc="T T T"
Rb 0.000 0.000 0.000
Rb 3.596 0.000 1.418
Rb 2.607 0.000 4.770
Rb 7.872 0.000 2.495
Rb 6.882 0.000 5.847
Hf -1.217 0.000 3.632
O 0.630 0.000 2.713
O -0.304 0.000 5.499
O 5.239 0.000 3.632
O 10.782 0.000 1.766
O 9.848 0.000 4.552



# 10
5
Lattice="4.685 0.000 0.000 0.000 4.685 0.000 0.000 0.000 4.685" Properties=species:S:1:pos:R:3 comment="RbHf3O | Alexandria | PBE | optimized geometry" crystal_system=cubic e_form_raw_ev_per_atom=0.0869 pbc="T T T"
Rb 0.000 0.000 0.000
Hf 0.000 2.342 2.342
Hf 2.342 0.000 2.342
Hf 2.342 2.342 0.000
O 2.342 2.342 2.342



# 11
8
Lattice="5.019 2.898 2.186 -5.019 2.898 2.186 0.000 -5.795 2.186" Properties=species:S:1:pos:R:3 comment="Rb3HfO4 | Alexandria | PBE | optimized geometry" crystal_system=trigonal e_form_raw_ev_per_atom=-1.9128 pbc="T T T"
Rb 0.000 -2.305 2.186
Rb -1.996 1.152 2.186
Rb 1.996 1.152 2.186
Hf 0.000 0.000 5.087
O 0.000 0.000 0.506
O -1.554 -0.897 4.285
O 1.554 -0.897 4.285
O 0.000 1.795 4.285



# 12
20
Lattice="8.203 0.000 0.000 0.000 10.401 0.000 0.000 0.000 6.592" Properties=species:S:1:pos:R:3 comment="Rb5HfO4 | Alexandria | PBE | optimized geometry" crystal_system=orthorhombic e_form_raw_ev_per_atom=-1.7524 pbc="T T T"
Rb 0.080 0.765 1.590
Rb 0.080 4.435 1.590
Rb 2.051 7.801 1.801
Rb 4.021 0.765 1.590
Rb 4.021 4.435 1.590
Rb 4.182 5.966 5.002
Rb 4.182 9.636 5.002
Rb 6.153 2.600 4.791
Rb 8.123 5.966 5.002
Rb 8.123 9.636 5.002
Hf 2.051 2.600 4.931
Hf 6.153 7.801 1.661
O 0.443 2.600 3.776
O 2.051 0.965 6.062
O 2.051 4.236 6.062
O 3.659 2.600 3.776
O 4.544 7.801 2.816
O 6.153 6.165 0.530
O 6.153 9.437 0.530
O 7.761 7.801 2.816



- Number 7 is which compound?
  RbHf2O